VASP calculation (GGA-PBE) on a relaxed Li3Tl3CoCl8 crystal.

Results
Final energy (eV for the cell shown): -52.6
Uncorrected formation energy (kJ/mol of atoms): -115
Crystal system: trigonal
Total magnetization (μB/cell): 3.00
Space-group type: No. 166

Cell: 7.660 7.665 8.607 Å, 116.46 90.00 119.98°
Last column: magnetic moment on the atom in μB.
Element x y z (fractional)
Li 0.500 0.000 0.500  0.00
Li 0.500 0.500 0.500  0.00
Li 0.000 0.500 0.500  0.00
Cl 0.782 0.563 0.318  0.05
Cl 0.218 0.437 0.682  0.05
Cl 0.254 0.036 0.318  0.05
Cl 0.729 0.459 0.688  0.00
Cl 0.219 0.964 0.682  0.05
Cl 0.271 0.541 0.312  0.00
Cl 0.781 0.036 0.318  0.05
Cl 0.746 0.964 0.682  0.05
Tl 0.000 0.500 0.000  0.00
Tl 0.000 0.000 0.000  0.00
Tl 0.500 0.500 0.000  0.00
Co 0.000 0.000 0.500  2.52